(1)
DFT (PBE) results for PmNpFe4 after structural relaxation.

Lattice parameters (Å, degrees): 5.1007 5.1007 5.1007 60.00 60.00 60.00
Site moments in Bohr magnetons follow the coordinates.
Fractional coordinates of all 6 atoms:
Fe 0.6237 0.6237 0.6237  1.69
Fe 0.1288 0.6237 0.6237  1.69
Fe 0.6237 0.1288 0.6237  1.69
Fe 0.6237 0.6237 0.1288  1.69
Np 0.2500 0.2500 0.2500  2.89
Pm 0.0000 0.0000 0.0000  -0.15

Space group: F-43m, No. 216
Energy relative to the elements: 0.248 eV per atom
Energy: -8.34 eV per atom

(2)
DFT (PBE) results for Sr2Y2Ag after structural relaxation.

Lattice parameters (Å, degrees): 7.7967 7.7967 6.1827 90.00 90.00 90.00
Site moments in Bohr magnetons follow the coordinates.
Fractional coordinates of all 10 atoms:
Y 0.1529 0.3471 0.0000  0.28
Y 0.3471 0.8471 0.0000  0.28
Y 0.6529 0.1529 0.0000  0.28
Y 0.8471 0.6529 0.0000  0.28
Sr 0.6705 0.8295 0.5000  0.07
Sr 0.8295 0.3295 0.5000  0.07
Sr 0.3295 0.1705 0.5000  0.07
Sr 0.1705 0.6705 0.5000  0.07
Ag 0.5000 0.5000 0.0000  0.03
Ag 0.0000 0.0000 0.0000  0.03

Space group: P4/mbm, No. 127
Energy relative to the elements: 0.157 eV per atom
Energy: -3.67 eV per atom

no.,theoretical density (g/cm³),calculated volume (Å³/atom)
1,10.7,15.64
2,4.1,37.58